Record 1
! Na8Tl6Sn, relaxed, DFT PBE; values from VASP
&SYSTEM
  ibrav = 0, nat = 15, ntyp = 3
/
ATOMIC_SPECIES
Na 22.99 Na.upf
Tl 204.38 Tl.upf
Sn 118.71 Sn.upf
CELL_PARAMETERS angstrom
7.7437 0.3883 3.2581
2.3069 7.4023 3.2581
0.5009 0.3883 8.3863
ATOMIC_POSITIONS angstrom
Na 2.9570 5.2232 9.5544
Na 3.4647 6.6177 6.2625
Na 3.4911 1.7052 8.9398
Na 6.2561 4.8493 8.8359
Na 4.2954 3.3296 6.0667
Na 7.0604 6.4737 5.9628
Na 7.0868 1.5612 8.6401
Na 7.5945 2.9557 5.3482
Tl 8.8562 3.9064 10.6288
Tl 2.5163 0.5764 5.7210
Tl 5.0023 2.2931 3.0187
Tl 5.5492 5.8858 11.8839
Tl 8.0352 7.6024 9.1816
Tl 1.6953 4.2725 4.2738
Sn 0.0000 0.0000 0.0000
! - Polymorph energy (0 for the lowest one): 0.0000 eV per atom
! - DFT formation energy: -1.179 eV/f.u.

Record 2
! Na2Tl5Sn2, relaxed, DFT PBE; values from VASP
&SYSTEM
  ibrav = 0, nat = 9, ntyp = 3
/
ATOMIC_SPECIES
Na 22.99 Na.upf
Tl 204.38 Tl.upf
Sn 118.71 Sn.upf
CELL_PARAMETERS angstrom
-4.3517 1.7953 0.1089
-0.7625 -1.5746 -4.5117
-1.9950 -11.2700 4.2691
ATOMIC_POSITIONS angstrom
Na -4.2251 -4.0376 -0.4737
Na -2.8841 -7.0117 0.3400
Tl -2.9968 -1.1438 0.9045
Tl -4.1124 -9.9055 -1.0382
Tl -5.8697 -8.1277 1.2328
Tl -1.2395 -2.9217 -1.3665
Tl 0.0000 0.0000 0.0000
Sn -5.3994 -6.7974 -1.9058
Sn -1.7098 -4.2520 1.7722
! - Polymorph energy (0 for the lowest one): 0.0036 eV per atom
! - DFT formation energy: -0.302 eV/f.u.